A plane-wave DFT calculation with GGA+U was carried out for VInSe2O8 after structural relaxation.

Values from the calculation:
The total energy comes out at -5.980 eV/atom. As for the density of states at the Fermi level: 0.00 states/eV per atom.

Cell lengths 4.8546, 6.9401, 10.8000 Å; angles 90.00, 98.36, 90.00 degrees
Last column: nearest neighbours and their distance in Å.
Space group Pm (No. 6)
Inequivalent atoms, fractional coordinates:
V (0.0000, 0.2505, 0.0000)  1 O 1.62
In (0.0780, 0.2500, 0.4907)  6 O 2.15-2.25
Se (0.1780, 0.0000, 0.7726)  3 O 1.74-1.78
Se (0.3443, 0.5000, 0.2406)  3 O 1.73-1.78
Se (0.5207, 0.0000, 0.3040)  3 O 1.72-1.79
Se (0.6301, 0.5000, 0.6783)  3 O 1.71-1.80
O (0.0010, 0.1979, 0.8200)  1 Se 1.74
O (0.0091, 0.0000, 0.6147)  1 Se 1.78
O (0.0926, 0.5000, 0.9677)  2 V 1.84
O (0.1249, 0.0000, 0.0269)  2 V 1.85
O (0.1645, 0.3001, 0.1767)  1 Se 1.73
O (0.2023, 0.5000, 0.3836)  1 Se 1.78
O (0.2550, 0.0000, 0.4035)  1 Se 1.79
O (0.4355, 0.3008, 0.6299)  1 Se 1.71
O (0.6694, 0.2506, 0.0086)  1 V 1.62
O (0.6998, 0.1998, 0.3652)  1 Se 1.72
O (0.8691, 0.5000, 0.5650)  1 Se 1.80